## a
Density functional theory data (PBE-GGA) for a relaxed structure of Hf2AlGa.

- total magnetic moment (μB/f.u.) = 0.0
- DOS(E_F) (states/eV/cell) = 12.38

Unit cell a=7.4825 b=7.4825 c=5.7825 alpha=90.00 beta=90.00 gamma=90.00
Space group I-42d (No. 122)
Unique sites:
Hf  0.2424  0.2500  0.1250
Al  0.0000  0.0000  0.5000
Ga  0.0000  0.0000  0.0000

## b
Density functional theory data (PBE-GGA) for a relaxed structure of Hf2AlGa.

- total magnetic moment (μB/f.u.) = 0.0
- DOS(E_F) (states/eV/cell) = 3.06

Unit cell a=3.0190 b=3.0190 c=8.1734 alpha=90.00 beta=90.00 gamma=90.00
Space group P4/mmm (No. 123)
Unique sites:
Hf  0.0000  0.0000  0.2466
Al  0.5000  0.5000  0.5000
Ga  0.5000  0.5000  0.0000

## c
Density functional theory data (PBE-GGA) for a relaxed structure of Hf2AlGa.

- total magnetic moment (μB/f.u.) = 0.0
- DOS(E_F) (states/eV/cell) = 24.44

Unit cell a=6.7053 b=6.7053 c=6.7053 alpha=90.00 beta=90.00 gamma=90.00
Space group Fm-3m (No. 225)
Unique sites:
Hf  0.2500  0.2500  0.2500
Al  0.0000  0.0000  0.0000
Ga  0.0000  0.0000  0.5000

Which structure loses on stability? a does.

## a
Density functional theory data (PBE-GGA) for a relaxed structure of HfAl2Ga3.

- total magnetic moment (μB/f.u.) = 0.0
- DOS(E_F) (states/eV/cell) = 11.38

Unit cell a=7.6411 b=9.3689 c=6.2304 alpha=90.00 beta=102.06 gamma=90.00
Space group C2/c (No. 15)
Unique sites:
Hf  0.0000  0.0528  0.2500
Al  0.1422  0.2328  0.6506
Ga  0.0000  0.3492  0.2500
Ga  0.1945  0.4411  0.9562

## b
Density functional theory data (PBE-GGA) for a relaxed structure of HfAl2Ga3.

- total magnetic moment (μB/f.u.) = 0.0
- DOS(E_F) (states/eV/cell) = 6.00

Unit cell a=4.1361 b=12.7228 c=3.9374 alpha=90.00 beta=90.00 gamma=90.00
Space group Cmmm (No. 65)
Unique sites:
Hf  0.0000  0.0000  0.0000
Al  0.0000  0.3334  0.0000
Ga  0.0000  0.1714  0.5000
Ga  0.0000  0.5000  0.5000

Which structure loses on stability? a does.

## a
Density functional theory data (PBE-GGA) for a relaxed structure of Hf2AlGa3.

- total magnetic moment (μB/f.u.) = 0.0
- DOS(E_F) (states/eV/cell) = 4.35

Unit cell a=3.9562 b=12.8749 c=4.1471 alpha=90.00 beta=90.00 gamma=90.00
Space group Cmmm (No. 65)
Unique sites:
Hf  0.0000  0.1524  0.0000
Al  0.0000  0.0000  0.5000
Ga  0.0000  0.3246  0.5000
Ga  0.0000  0.5000  0.0000

## b
Density functional theory data (PBE-GGA) for a relaxed structure of Hf2AlGa3.

- total magnetic moment (μB/f.u.) = 0.0
- DOS(E_F) (states/eV/cell) = 3.47

Unit cell a=5.2389 b=6.0719 c=7.2559 alpha=90.00 beta=110.63 gamma=90.00
Space group P2_1/m (No. 11)
Unique sites:
Hf  0.1537  0.0000  0.3162
Al  0.2496  0.2500  0.0003
Ga  0.2403  0.7500  0.0001
Ga  0.3396  0.2500  0.6713
Ga  0.3412  0.7500  0.6710

Which structure loses on stability? b does.

## a
Density functional theory data (PBE-GGA) for a relaxed structure of HfAl3Ga.

- total magnetic moment (μB/f.u.) = 0.0
- DOS(E_F) (states/eV/cell) = 5.86

Unit cell a=5.2975 b=5.2975 c=5.2975 alpha=90.00 beta=90.00 gamma=90.00
Space group Pm-3m (No. 221)
Unique sites:
Hf  0.0000  0.0000  0.0000
Al  0.0000  0.0000  0.5000
Ga  0.5000  0.5000  0.5000

## b
Density functional theory data (PBE-GGA) for a relaxed structure of HfAl3Ga.

- total magnetic moment (μB/f.u.) = 0.0
- DOS(E_F) (states/eV/cell) = 4.86

Unit cell a=4.7316 b=4.7316 c=4.7316 alpha=90.00 beta=90.00 gamma=90.00
Space group Pm-3m (No. 221)
Unique sites:
Hf  0.0000  0.0000  0.0000
Al  0.0000  0.5000  0.5000
Ga  0.5000  0.5000  0.5000

## c
Density functional theory data (PBE-GGA) for a relaxed structure of HfAl3Ga.

- total magnetic moment (μB/f.u.) = 0.0
- DOS(E_F) (states/eV/cell) = 4.88

Unit cell a=5.3787 b=5.3653 c=6.2627 alpha=90.00 beta=103.30 gamma=90.00
Space group P2_1/m (No. 11)
Unique sites:
Hf  0.1669  0.2500  0.1888
Al  0.3147  0.5011  0.6265
Al  0.3879  0.7500  0.0138
Ga  0.0704  0.7500  0.2680

Which structure loses on stability? a does.

## a
Density functional theory data (PBE-GGA) for a relaxed structure of Al2Ga2Hg.

- total magnetic moment (μB/f.u.) = 0.0
- DOS(E_F) (states/eV/cell) = 3.57

Unit cell a=8.3159 b=8.3159 c=2.8391 alpha=90.00 beta=90.00 gamma=90.00
Space group P4/mbm (No. 127)
Unique sites:
Al  0.1424  0.3577  0.0000
Ga  0.1535  0.6535  0.5000
Hg  0.0000  0.0000  0.0000

## b
Density functional theory data (PBE-GGA) for a relaxed structure of Al2Ga2Hg.

- total magnetic moment (μB/f.u.) = 0.0
- DOS(E_F) (states/eV/cell) = 3.36

Unit cell a=4.2205 b=4.2205 c=11.4306 alpha=90.00 beta=90.00 gamma=90.00
Space group I4/mmm (No. 139)
Unique sites:
Al  0.0000  0.5000  0.2500
Ga  0.0000  0.0000  0.1081
Hg  0.0000  0.0000  0.5000

Which structure loses on stability? b does.

## a
Density functional theory data (PBE-GGA) for a relaxed structure of AlGa2Hg.

- total magnetic moment (μB/f.u.) = 0.0
- DOS(E_F) (states/eV/cell) = 4.90

Unit cell a=4.4167 b=4.4167 c=15.4073 alpha=90.00 beta=90.00 gamma=120.00
Space group R3m (No. 160, hexagonal axes)
Unique sites:
Al  0.0000  0.0000  0.0000
Ga  0.0000  0.0000  0.4113
Ga  0.0000  0.0000  0.6157
Hg  0.0000  0.0000  0.1836

## b
Density functional theory data (PBE-GGA) for a relaxed structure of AlGa2Hg.

- total magnetic moment (μB/f.u.) = 0.0
- DOS(E_F) (states/eV/cell) = 1.74

Unit cell a=3.0015 b=3.0015 c=10.4146 alpha=90.00 beta=90.00 gamma=120.00
Space group P-3m1 (No. 164)
Unique sites:
Al  0.0000  0.0000  0.0000
Ga  0.3333  0.6667  0.2252
Hg  0.0000  0.0000  0.5000

Which structure loses on stability? a does.

## a
Density functional theory data (PBE-GGA) for a relaxed structure of AlGa2Hg.

- total magnetic moment (μB/f.u.) = 0.0
- DOS(E_F) (states/eV/cell) = 7.86

Unit cell a=6.8849 b=6.8849 c=6.8849 alpha=90.00 beta=90.00 gamma=90.00
Space group Fm-3m (No. 225)
Unique sites:
Al  0.0000  0.0000  0.0000
Ga  0.2500  0.2500  0.2500
Hg  0.0000  0.0000  0.5000

## b
Density functional theory data (PBE-GGA) for a relaxed structure of AlGa2Hg.

- total magnetic moment (μB/f.u.) = 0.0
- DOS(E_F) (states/eV/cell) = 3.81

Unit cell a=3.0031 b=3.0031 c=31.1259 alpha=90.00 beta=90.00 gamma=120.00
Space group R-3m (No. 166, hexagonal axes)
Unique sites:
Al  0.0000  0.0000  0.0000
Ga  0.0000  0.0000  0.4078
Hg  0.0000  0.0000  0.5000

Which structure loses on stability? a does.

## a
Density functional theory data (PBE-GGA) for a relaxed structure of AlGa2Hg.

- total magnetic moment (μB/f.u.) = 0.0
- DOS(E_F) (states/eV/cell) = 1.77

Unit cell a=2.9732 b=2.9732 c=9.1239 alpha=90.00 beta=90.00 gamma=90.00
Space group P4/mmm (No. 123)
Unique sites:
Al  0.0000  0.0000  0.0000
Ga  0.5000  0.5000  0.2273
Hg  0.0000  0.0000  0.5000

## b
Density functional theory data (PBE-GGA) for a relaxed structure of AlGa2Hg.

- total magnetic moment (μB/f.u.) = 0.0
- DOS(E_F) (states/eV/cell) = 7.81

Unit cell a=3.9959 b=3.9959 c=20.6228 alpha=90.00 beta=90.00 gamma=90.00
Space group I-42d (No. 122)
Unique sites:
Al  0.0000  0.0000  0.0000
Ga  0.2421  0.2500  0.1250
Hg  0.0000  0.0000  0.5000

Which structure loses on stability? b does.

## a
Density functional theory data (PBE-GGA) for a relaxed structure of Al3GaHg.

- total magnetic moment (μB/f.u.) = 0.0
- DOS(E_F) (states/eV/cell) = 1.86

Unit cell a=4.9282 b=4.9282 c=4.9282 alpha=90.00 beta=90.00 gamma=90.00
Space group Pm-3m (No. 221)
Unique sites:
Al  0.0000  0.0000  0.5000
Ga  0.0000  0.0000  0.0000
Hg  0.5000  0.5000  0.5000

## b
Density functional theory data (PBE-GGA) for a relaxed structure of Al3GaHg.

- total magnetic moment (μB/f.u.) = 0.0
- DOS(E_F) (states/eV/cell) = 3.30

Unit cell a=5.0812 b=5.0812 c=5.0812 alpha=90.00 beta=90.00 gamma=90.00
Space group Pm-3m (No. 221)
Unique sites:
Al  0.0000  0.0000  0.5000
Ga  0.5000  0.5000  0.5000
Hg  0.0000  0.0000  0.0000

Which structure loses on stability? b does.

## a
Density functional theory data (PBE-GGA) for a relaxed structure of AlGaHg2.

- total magnetic moment (μB/f.u.) = 0.0
- DOS(E_F) (states/eV/cell) = 6.49

Unit cell a=3.1201 b=3.1201 c=32.1477 alpha=90.00 beta=90.00 gamma=120.00
Space group R-3m (No. 166, hexagonal axes)
Unique sites:
Al  0.0000  0.0000  0.0000
Ga  0.0000  0.0000  0.5000
Hg  0.0000  0.0000  0.0862

## b
Density functional theory data (PBE-GGA) for a relaxed structure of AlGaHg2.

- total magnetic moment (μB/f.u.) = 0.0
- DOS(E_F) (states/eV/cell) = 1.44

Unit cell a=4.5306 b=4.5306 c=4.2124 alpha=90.00 beta=90.00 gamma=90.00
Space group P4/mmm (No. 123)
Unique sites:
Al  0.0000  0.0000  0.0000
Ga  0.5000  0.5000  0.0000
Hg  0.0000  0.5000  0.5000

Which structure loses on stability? a does.

## a
Density functional theory data (PBE-GGA) for a relaxed structure of AlGaHg2.

- total magnetic moment (μB/f.u.) = 0.0
- DOS(E_F) (states/eV/cell) = 5.60

Unit cell a=4.4911 b=4.4911 c=18.0683 alpha=90.00 beta=90.00 gamma=90.00
Space group I-42d (No. 122)
Unique sites:
Al  0.0000  0.0000  0.0000
Ga  0.0000  0.0000  0.5000
Hg  0.2419  0.2500  0.1250

## b
Density functional theory data (PBE-GGA) for a relaxed structure of AlGaHg2.

- total magnetic moment (μB/f.u.) = 0.0
- DOS(E_F) (states/eV/cell) = 6.88

Unit cell a=7.0697 b=7.0697 c=7.0697 alpha=90.00 beta=90.00 gamma=90.00
Space group Fm-3m (No. 225)
Unique sites:
Al  0.0000  0.0000  0.0000
Ga  0.0000  0.0000  0.5000
Hg  0.2500  0.2500  0.2500

Which structure loses on stability? b does.

## a
Density functional theory data (PBE-GGA) for a relaxed structure of AlGaHg2.

- total magnetic moment (μB/f.u.) = 0.0
- DOS(E_F) (states/eV/cell) = 1.44

Unit cell a=3.3833 b=3.3833 c=7.6140 alpha=90.00 beta=90.00 gamma=90.00
Space group P4/mmm (No. 123)
Unique sites:
Al  0.0000  0.0000  0.0000
Ga  0.0000  0.0000  0.5000
Hg  0.5000  0.5000  0.2425

## b
Density functional theory data (PBE-GGA) for a relaxed structure of AlGaHg2.

- total magnetic moment (μB/f.u.) = 0.0
- DOS(E_F) (states/eV/cell) = 3.64

Unit cell a=4.1401 b=4.1401 c=18.8253 alpha=90.00 beta=90.00 gamma=120.00
Space group R3m (No. 160, hexagonal axes)
Unique sites:
Al  0.0000  0.0000  0.0000
Ga  0.0000  0.0000  0.8317
Hg  0.0000  0.0000  0.4120
Hg  0.0000  0.0000  0.5878

Which structure loses on stability? a does.